Version A
## Li3Ce2Pb4 (PBE)

Data for an optimized crystal structure of Li3Ce2Pb4.

a b c (Å): 4.673 5.025 11.550
angles (deg): 82.25 90.02 62.26
Site moments in Bohr magnetons follow the coordinates.
Fractional positions:
Li  0.353  0.294  0.448  0.00
Li  0.000  0.000  0.000  0.00
Li  0.647  0.706  0.552  0.00
Ce  0.324  0.351  0.770  0.70
Ce  0.676  0.649  0.230  0.70
Pb  0.672  0.655  0.912  0.00
Pb  0.029  0.942  0.370  -0.01
Pb  0.971  0.058  0.630  -0.01
Pb  0.328  0.345  0.088  0.00

## Properties
The crystal system is monoclinic. The value obtained for the volume is 26.4 Å³ per atom. As for the theoretical density: 7.9 g/cm³.


Version B
## Li3Ce2Pb4 (PBE)

Data for an optimized crystal structure of Li3Ce2Pb4.

a b c (Å): 6.593 8.326 8.826
angles (deg): 90.00 111.93 90.00
Site moments in Bohr magnetons follow the coordinates.
Fractional positions:
Li  0.000  0.000  0.000  0.00
Li  0.500  0.500  0.000  0.00
Li  0.527  0.750  0.555  0.00
Li  0.973  0.250  0.445  0.00
Li  0.473  0.250  0.445  0.00
Li  0.027  0.750  0.555  0.00
Ce  0.111  0.587  0.222  0.83
Ce  0.889  0.413  0.778  0.83
Ce  0.389  0.087  0.778  0.83
Ce  0.611  0.913  0.222  0.83
Pb  0.701  0.750  0.901  0.00
Pb  0.799  0.250  0.099  0.00
Pb  0.299  0.250  0.099  0.00
Pb  0.201  0.750  0.901  0.00
Pb  0.179  0.969  0.358  0.01
Pb  0.821  0.031  0.642  0.01
Pb  0.321  0.469  0.642  0.01
Pb  0.679  0.531  0.358  0.01

## Properties
The crystal system is orthorhombic. The value obtained for the volume is 25.0 Å³ per atom. As for the theoretical density: 8.3 g/cm³.


version B is favored, and the nearest alternative lies 23 meV per atom above it.


Version A
## Li3CePb3 (PBE)

Data for an optimized crystal structure of Li3CePb3.

a b c (Å): 8.807 8.807 7.755
angles (deg): 55.40 55.40 60.00
Site moments in Bohr magnetons follow the coordinates.
Fractional positions:
Li  0.439  0.786  0.663  0.00
Li  0.786  0.112  0.663  0.00
Li  0.112  0.439  0.663  0.00
Li  0.888  0.561  0.337  0.00
Li  0.214  0.888  0.337  0.00
Li  0.561  0.214  0.337  0.00
Ce  0.333  0.333  0.000  0.84
Ce  0.667  0.667  0.000  0.84
Pb  0.249  0.629  0.183  0.02
Pb  0.938  0.249  0.183  0.02
Pb  0.629  0.938  0.183  0.02
Pb  0.371  0.062  0.817  0.02
Pb  0.062  0.751  0.817  0.02
Pb  0.751  0.371  0.817  0.02

## Properties
The crystal system is trigonal. The value obtained for the volume is 28.1 Å³ per atom. As for the theoretical density: 6.6 g/cm³.


Version B
## Li3CePb3 (PBE)

Data for an optimized crystal structure of Li3CePb3.

a b c (Å): 7.297 7.297 7.297
angles (deg): 90.00 90.00 90.00
Site moments in Bohr magnetons follow the coordinates.
Fractional positions:
Pb  0.250  0.000  0.500  0.03
Pb  0.000  0.500  0.250  0.03
Pb  0.500  0.750  0.000  0.03
Pb  0.750  0.000  0.500  0.03
Pb  0.000  0.500  0.750  0.03
Pb  0.500  0.250  0.000  0.03
Ce  0.500  0.500  0.500  1.19
Ce  0.000  0.000  0.000  1.19
Li  0.000  0.250  0.500  0.00
Li  0.000  0.750  0.500  0.00
Li  0.500  0.000  0.750  0.00
Li  0.750  0.500  0.000  0.00
Li  0.500  0.000  0.250  0.00
Li  0.250  0.500  0.000  0.00

## Properties
The crystal system is cubic. The value obtained for the volume is 27.8 Å³ per atom. As for the theoretical density: 6.7 g/cm³.


version A is favored, and the nearest alternative lies 279 meV per atom above it.


Version A
## LiCe2Pd (PBE)

Data for an optimized crystal structure of LiCe2Pd.

a b c (Å): 3.776 3.776 6.790
angles (deg): 90.00 90.00 90.00
Site moments in Bohr magnetons follow the coordinates.
Fractional positions:
Pd  0.500  0.500  0.000  -0.03
Ce  0.000  0.000  0.785  0.63
Ce  0.000  0.000  0.215  0.63
Li  0.500  0.500  0.500  0.01

## Properties
The crystal system is tetragonal. The value obtained for the volume is 24.2 Å³ per atom. As for the theoretical density: 6.8 g/cm³.


Version B
## LiCe2Pd (PBE)

Data for an optimized crystal structure of LiCe2Pd.

a b c (Å): 4.493 4.353 4.353
angles (deg): 90.00 90.00 90.00
Site moments in Bohr magnetons follow the coordinates.
Fractional positions:
Pd  0.500  0.000  0.000  -0.01
Ce  0.000  0.000  0.500  0.12
Ce  0.000  0.500  0.000  0.12
Li  0.500  0.500  0.500  0.00

## Properties
The crystal system is tetragonal. The value obtained for the volume is 21.3 Å³ per atom. As for the theoretical density: 7.7 g/cm³.


version A is favored, and the nearest alternative lies 25 meV per atom above it.


Version A
## LiCe2Pm (PBE)

Data for an optimized crystal structure of LiCe2Pm.

a b c (Å): 3.331 3.331 10.263
angles (deg): 90.00 90.00 90.00
Site moments in Bohr magnetons follow the coordinates.
Fractional positions:
Li  0.500  0.500  0.000  0.02
Ce  0.000  0.000  0.763  0.79
Ce  0.000  0.000  0.237  0.79
Pm  0.500  0.500  0.500  0.01

## Properties
The crystal system is tetragonal. The value obtained for the volume is 28.5 Å³ per atom. As for the theoretical density: 6.3 g/cm³.


Version B
## LiCe2Pm (PBE)

Data for an optimized crystal structure of LiCe2Pm.

a b c (Å): 3.303 3.303 12.588
angles (deg): 82.46 82.46 60.00
Site moments in Bohr magnetons follow the coordinates.
Fractional positions:
Li  0.000  0.000  0.000  0.00
Ce  0.086  0.086  0.741  0.70
Ce  0.914  0.914  0.259  0.70
Pm  0.500  0.500  0.500  0.00

## Properties
The crystal system is trigonal. The value obtained for the volume is 29.4 Å³ per atom. As for the theoretical density: 6.1 g/cm³.


version A is favored, and the nearest alternative lies 48 meV per atom above it.


Version A
## LiCePr2 (PBE)

Data for an optimized crystal structure of LiCePr2.

a b c (Å): 3.559 5.803 5.803
angles (deg): 90.00 90.00 90.00
Site moments in Bohr magnetons follow the coordinates.
Fractional positions:
Pr  0.000  0.000  0.500  0.01
Pr  0.000  0.500  0.000  0.01
Ce  0.500  0.500  0.500  0.40
Li  0.500  0.000  0.000  0.00

## Properties
The crystal system is tetragonal. The value obtained for the volume is 30.0 Å³ per atom. As for the theoretical density: 5.9 g/cm³.


Version B
## LiCePr2 (PBE)

Data for an optimized crystal structure of LiCePr2.

a b c (Å): 3.533 3.533 11.773
angles (deg): 81.35 81.35 60.00
Site moments in Bohr magnetons follow the coordinates.
Fractional positions:
Li  0.667  0.667  0.000  0.00
Ce  0.500  0.500  0.500  0.54
Pr  0.082  0.082  0.754  0.01
Pr  0.251  0.251  0.246  0.01

## Properties
The crystal system is trigonal. The value obtained for the volume is 31.3 Å³ per atom. As for the theoretical density: 5.7 g/cm³.


version B is favored, and the nearest alternative lies 22 meV per atom above it.


Version A
## LiCePr2 (PBE)

Data for an optimized crystal structure of LiCePr2.

a b c (Å): 3.512 3.512 12.454
angles (deg): 81.89 81.89 60.00
Site moments in Bohr magnetons follow the coordinates.
Fractional positions:
Pr  0.089  0.089  0.732  -0.01
Pr  0.911  0.911  0.268  -0.01
Ce  0.500  0.500  0.500  0.39
Li  0.000  0.000  0.000  0.00

## Properties
The crystal system is trigonal. The value obtained for the volume is 32.8 Å³ per atom. As for the theoretical density: 5.4 g/cm³.


Version B
## LiCePr2 (PBE)

Data for an optimized crystal structure of LiCePr2.

a b c (Å): 5.543 5.543 5.543
angles (deg): 60.00 60.00 60.00
Site moments in Bohr magnetons follow the coordinates.
Fractional positions:
Pr  0.250  0.250  0.250  0.19
Pr  0.750  0.750  0.750  0.19
Ce  0.000  0.000  0.000  0.98
Li  0.500  0.500  0.500  0.00

## Properties
The crystal system is cubic. The value obtained for the volume is 30.1 Å³ per atom. As for the theoretical density: 5.9 g/cm³.


Version C
## LiCePr2 (PBE)

Data for an optimized crystal structure of LiCePr2.

a b c (Å): 3.599 3.599 9.224
angles (deg): 90.00 90.00 90.00
Fractional positions:
Pr  0.000  0.000  0.758
Pr  0.000  0.000  0.242
Ce  0.500  0.500  0.500
Li  0.500  0.500  0.000

## Properties
The crystal system is tetragonal. The value obtained for the volume is 29.9 Å³ per atom. As for the theoretical density: 6.0 g/cm³.


version C is favored, and the nearest alternative lies 111 meV per atom above it.